1.
YCrIr2 (PBE, optimized geometry); V = 17.56 Å³/atom; magnetic moment = 2.59 μB per cell; N(E_F) = 0.94 states/eV/atom; ΔH_f (0 K) = -0.045 eV/atom; distance to the lowest polymorph of the same formula = 0.241 eV per atom
1.0
2.952 0.000 0.000
0.000 3.948 0.000
0.000 0.000 6.028
Cr Ir Y
1 2 1
direct
0.500 0.500 0.823 Cr
0.000 0.000 0.964 Ir
0.500 0.500 0.235 Ir
0.000 0.000 0.479 Y

---

2.
TlRh2O (PBE, optimized geometry); V = 18.73 Å³/atom; E_form (uncorrected) = 0.01 eV/atom; magnetic moment = 0.00 μB per cell; N(E_F) = 1.06 states/eV/atom; distance to the lowest polymorph of the same formula = 0.000 eV per atom
1.0
-0.993 3.703 3.018
-0.691 -3.161 3.652
5.256 0.679 4.842
Tl Rh O
2 4 2
direct
0.000 0.000 0.000 Tl
0.750 0.250 0.500 Tl
0.450 0.125 0.250 Rh
0.300 0.625 0.250 Rh
0.375 0.550 0.750 Rh
0.875 0.700 0.750 Rh
0.500 0.500 0.000 O
0.250 0.750 0.500 O

---

3.
LiTmCuGe (PBE, optimized geometry); V = 17.84 Å³/atom; magnetic moment = 0.00 μB per cell; N(E_F) = 0.52 states/eV/atom; ΔH_f (0 K) = -0.389 eV/atom
1.0
4.656 0.000 0.000
2.328 4.032 0.000
2.328 1.344 3.801
Ge Tm Cu Li
1 1 1 1
direct
0.250 0.250 0.250 Ge
0.000 0.000 0.000 Tm
0.750 0.750 0.750 Cu
0.500 0.500 0.500 Li

---

4.
Dy2Y2Tm (PBE, optimized geometry); V = 31.85 Å³/atom; magnetic moment = 0.00 μB per cell; N(E_F) = 0.80 states/eV/atom; ΔH_f (0 K) = 0.099 eV/atom; distance to the lowest polymorph of the same formula = 0.000 eV per atom
1.0
-4.335 0.221 8.149
4.001 -7.984 2.345
2.874 1.874 1.478
Dy Y Tm
4 4 2
direct
0.128 0.628 0.000 Dy
0.628 0.872 0.000 Dy
0.872 0.372 0.000 Dy
0.372 0.128 0.000 Dy
0.329 0.829 0.500 Y
0.829 0.671 0.500 Y
0.671 0.171 0.500 Y
0.171 0.329 0.500 Y
0.000 0.000 0.000 Tm
0.500 0.500 0.000 Tm

---

5.
LaPrCdGa (PBE, optimized geometry); V = 27.96 Å³/atom; magnetic moment = 0.00 μB per cell; N(E_F) = 0.74 states/eV/atom; ΔH_f (0 K) = -0.445 eV/atom; distance to the lowest polymorph of the same formula = 0.000 eV per atom
1.0
-2.859 0.298 2.392
-0.948 -3.551 -0.690
4.740 -2.424 5.968
La Pr Cd Ga
1 1 1 1
direct
0.500 0.500 0.126 La
0.500 0.500 0.590 Pr
0.000 0.000 0.850 Cd
0.000 0.000 0.362 Ga

---

6.
Dy2Al5Cu12 (PBE, optimized geometry); V = 14.64 Å³/atom; magnetic moment = 0.00 μB per cell; N(E_F) = 0.43 states/eV/atom; ΔH_f (0 K) = -0.267 eV/atom
1.0
-4.183 -2.588 4.370
4.280 -0.747 4.942
-1.427 5.561 3.215
Dy Al Cu
2 5 12
direct
0.653 0.653 0.653 Dy
0.347 0.347 0.347 Dy
0.000 0.000 0.500 Al
0.000 0.500 0.000 Al
0.500 0.000 0.000 Al
0.902 0.902 0.902 Al
0.098 0.098 0.098 Al
0.296 0.704 0.000 Cu
0.704 0.000 0.296 Cu
0.000 0.296 0.704 Cu
0.704 0.296 0.000 Cu
0.296 0.000 0.704 Cu
0.000 0.704 0.296 Cu
0.348 0.348 0.849 Cu
0.348 0.849 0.348 Cu
0.849 0.348 0.348 Cu
0.652 0.151 0.652 Cu
0.652 0.652 0.151 Cu
0.151 0.652 0.652 Cu

---

7.
BaTiGe3O9 (PBE, optimized geometry); V = 15.20 Å³/atom; E_form (uncorrected) = -2.19 eV/atom; magnetic moment = 0.00 μB per cell; N(E_F) = 0.00 states/eV/atom
1.0
6.909 0.000 0.000
-3.455 5.984 0.000
0.000 0.000 10.295
Ba Ti Ge O
2 2 6 18
direct
0.000 0.000 0.000 Ba
0.000 0.000 0.500 Ba
0.667 0.333 0.000 Ti
0.667 0.333 0.500 Ti
0.413 0.446 0.250 Ge
0.554 0.967 0.250 Ge
0.413 0.967 0.750 Ge
0.033 0.587 0.250 Ge
0.554 0.587 0.750 Ge
0.033 0.446 0.750 Ge
0.892 0.580 0.108 O
0.420 0.312 0.108 O
0.892 0.580 0.392 O
0.892 0.312 0.608 O
0.688 0.108 0.108 O
0.420 0.312 0.392 O
0.420 0.108 0.608 O
0.892 0.312 0.892 O
0.688 0.108 0.392 O
0.420 0.108 0.892 O
0.688 0.580 0.608 O
0.688 0.580 0.892 O
0.129 0.392 0.250 O
0.608 0.738 0.250 O
0.129 0.738 0.750 O
0.262 0.871 0.250 O
0.608 0.871 0.750 O
0.262 0.392 0.750 O

---

8.
LiAc2PdO5 (PBE, optimized geometry); V = 16.98 Å³/atom; E_form (uncorrected) = -2.09 eV/atom; magnetic moment = 2.13 μB per cell; N(E_F) = 0.90 states/eV/atom
1.0
5.871 0.000 0.000
0.000 7.216 0.000
0.000 0.000 7.216
Li Ac Pd O
2 4 2 10
direct
0.000 0.500 0.500 Li
0.000 0.000 0.000 Li
0.500 0.679 0.179 Ac
0.500 0.179 0.321 Ac
0.500 0.821 0.679 Ac
0.500 0.321 0.821 Ac
0.000 0.000 0.500 Pd
0.000 0.500 0.000 Pd
0.500 0.500 0.500 O
0.500 0.000 0.000 O
0.246 0.133 0.633 O
0.246 0.867 0.367 O
0.246 0.367 0.133 O
0.246 0.633 0.867 O
0.754 0.133 0.633 O
0.754 0.633 0.867 O
0.754 0.867 0.367 O
0.754 0.367 0.133 O